*P*
# NiPAu3 PBE optimized geometry
data_NiPAu3
_chemical_formula_sum 'Ni1 P1 Au3'
_cell_length_a 4.7158
_cell_length_b 4.7158
_cell_length_c 4.7158
_cell_angle_alpha 90.00
_cell_angle_beta 90.00
_cell_angle_gamma 90.00
_space_group_name_H-M_alt 'P m -3 m'
_space_group_IT_number 221
_space_group_name_Hall '-P 4 2 3'
loop_
_atom_site_label
_atom_site_type_symbol
_atom_site_fract_x
_atom_site_fract_y
_atom_site_fract_z
Ni1 Ni 0.0000 0.0000 0.0000
P1 P 0.5000 0.5000 0.5000
Au1 Au 0.0000 0.0000 0.5000
# total magnetic moment: 0.0 μB/f.u.
# crystal system: cubic


*Q*
# NiPAu3 PBE optimized geometry
data_NiPAu3
_chemical_formula_sum 'Ni1 P1 Au3'
_cell_length_a 4.6632
_cell_length_b 4.6632
_cell_length_c 4.6632
_cell_angle_alpha 90.00
_cell_angle_beta 90.00
_cell_angle_gamma 90.00
_space_group_name_H-M_alt 'P m -3 m'
_space_group_IT_number 221
_space_group_name_Hall '-P 4 2 3'
loop_
_atom_site_label
_atom_site_type_symbol
_atom_site_fract_x
_atom_site_fract_y
_atom_site_fract_z
Ni1 Ni 0.0000 0.0000 0.0000
P1 P 0.5000 0.5000 0.5000
Au1 Au 0.0000 0.5000 0.5000
# total magnetic moment: 0.0 μB/f.u.
# crystal system: cubic


So which one wins? Going from most stable to least: *Q*, *P*.


*P*
# Ni3PAu PBE optimized geometry
data_Ni3PAu
_chemical_formula_sum 'Ni3 P1 Au1'
_cell_length_a 4.1554
_cell_length_b 4.1554
_cell_length_c 4.1554
_cell_angle_alpha 90.00
_cell_angle_beta 90.00
_cell_angle_gamma 90.00
_space_group_name_H-M_alt 'P m -3 m'
_space_group_IT_number 221
_space_group_name_Hall '-P 4 2 3'
loop_
_atom_site_label
_atom_site_type_symbol
_atom_site_fract_x
_atom_site_fract_y
_atom_site_fract_z
Ni1 Ni 0.0000 0.0000 0.5000
P1 P 0.0000 0.0000 0.0000
Au1 Au 0.5000 0.5000 0.5000
# total magnetic moment: 0.0 μB/f.u.
# crystal system: cubic


*Q*
# Ni3PAu PBE optimized geometry
data_Ni3PAu
_chemical_formula_sum 'Ni3 P1 Au1'
_cell_length_a 4.6329
_cell_length_b 4.6329
_cell_length_c 4.6329
_cell_angle_alpha 90.00
_cell_angle_beta 90.00
_cell_angle_gamma 90.00
_space_group_name_H-M_alt 'P m -3 m'
_space_group_IT_number 221
_space_group_name_Hall '-P 4 2 3'
loop_
_atom_site_label
_atom_site_type_symbol
_atom_site_fract_x
_atom_site_fract_y
_atom_site_fract_z
Ni1 Ni 0.0000 0.0000 0.5000
P1 P 0.5000 0.5000 0.5000
Au1 Au 0.0000 0.0000 0.0000
# total magnetic moment: 2.1 μB/f.u.
# crystal system: cubic


So which one wins? Going from most stable to least: *P*, *Q*.


*P*
# NiP2AuS PBE optimized geometry
data_NiP2AuS
_chemical_formula_sum 'Ni1 P2 Au1 S1'
_cell_length_a 4.4730
_cell_length_b 4.4730
_cell_length_c 4.6971
_cell_angle_alpha 90.00
_cell_angle_beta 90.00
_cell_angle_gamma 90.00
_space_group_name_H-M_alt 'P 4/m m m'
_space_group_IT_number 123
_space_group_name_Hall '-P 4 2'
loop_
_atom_site_label
_atom_site_type_symbol
_atom_site_fract_x
_atom_site_fract_y
_atom_site_fract_z
Ni1 Ni 0.0000 0.0000 0.0000
P1 P 0.0000 0.5000 0.5000
Au1 Au 0.5000 0.5000 0.0000
S1 S 0.5000 0.5000 0.5000
# total magnetic moment: 0.5 μB/f.u.
# crystal system: tetragonal


*Q*
# NiP2AuS PBE optimized geometry
data_NiP2AuS
_chemical_formula_sum 'Ni1 P2 Au1 S1'
_cell_length_a 4.3431
_cell_length_b 4.3431
_cell_length_c 4.6413
_cell_angle_alpha 90.00
_cell_angle_beta 90.00
_cell_angle_gamma 90.00
_space_group_name_H-M_alt 'P 4/m m m'
_space_group_IT_number 123
_space_group_name_Hall '-P 4 2'
loop_
_atom_site_label
_atom_site_type_symbol
_atom_site_fract_x
_atom_site_fract_y
_atom_site_fract_z
Ni1 Ni 0.0000 0.0000 0.0000
P1 P 0.0000 0.5000 0.0000
Au1 Au 0.5000 0.5000 0.5000
S1 S 0.0000 0.0000 0.5000
# total magnetic moment: 0.0 μB/f.u.
# crystal system: tetragonal


So which one wins? Going from most stable to least: *Q*, *P*.


*P*
# NiPAuS2 PBE optimized geometry
data_NiPAuS2
_chemical_formula_sum 'Ni1 P1 Au1 S2'
_cell_length_a 4.9461
_cell_length_b 4.9461
_cell_length_c 4.6075
_cell_angle_alpha 90.00
_cell_angle_beta 90.00
_cell_angle_gamma 90.00
_space_group_name_H-M_alt 'P 4/m m m'
_space_group_IT_number 123
_space_group_name_Hall '-P 4 2'
loop_
_atom_site_label
_atom_site_type_symbol
_atom_site_fract_x
_atom_site_fract_y
_atom_site_fract_z
Ni1 Ni 0.0000 0.0000 0.0000
P1 P 0.5000 0.5000 0.0000
Au1 Au 0.5000 0.5000 0.5000
S1 S 0.0000 0.5000 0.5000
# total magnetic moment: 1.4 μB/f.u.
# crystal system: tetragonal


*Q*
# NiPAuS2 PBE optimized geometry
data_NiPAuS2
_chemical_formula_sum 'Ni1 P1 Au1 S2'
_cell_length_a 4.6055
_cell_length_b 4.6055
_cell_length_c 4.2384
_cell_angle_alpha 90.00
_cell_angle_beta 90.00
_cell_angle_gamma 90.00
_space_group_name_H-M_alt 'P 4/m m m'
_space_group_IT_number 123
_space_group_name_Hall '-P 4 2'
loop_
_atom_site_label
_atom_site_type_symbol
_atom_site_fract_x
_atom_site_fract_y
_atom_site_fract_z
Ni1 Ni 0.0000 0.0000 0.0000
P1 P 0.0000 0.0000 0.5000
Au1 Au 0.5000 0.5000 0.0000
S1 S 0.0000 0.5000 0.5000
# total magnetic moment: 0.0 μB/f.u.
# crystal system: tetragonal


*R*
# NiPAuS2 PBE optimized geometry
data_NiPAuS2
_chemical_formula_sum 'Ni1 P1 Au1 S2'
_cell_length_a 4.6113
_cell_length_b 4.6113
_cell_length_c 4.2083
_cell_angle_alpha 90.00
_cell_angle_beta 90.00
_cell_angle_gamma 90.00
_space_group_name_H-M_alt 'P 4/m m m'
_space_group_IT_number 123
_space_group_name_Hall '-P 4 2'
loop_
_atom_site_label
_atom_site_type_symbol
_atom_site_fract_x
_atom_site_fract_y
_atom_site_fract_z
Ni1 Ni 0.0000 0.0000 0.0000
P1 P 0.0000 0.0000 0.5000
Au1 Au 0.5000 0.5000 0.5000
S1 S 0.0000 0.5000 0.0000
# total magnetic moment: 0.0 μB/f.u.
# crystal system: tetragonal


So which one wins? Going from most stable to least: *R*, *Q*, *P*.


*P*
# PaNiAu PBE optimized geometry
data_PaNiAu
_chemical_formula_sum 'Pa4 Ni4 Au4'
_cell_length_a 6.2011
_cell_length_b 5.2093
_cell_length_c 7.6168
_cell_angle_alpha 90.00
_cell_angle_beta 112.89
_cell_angle_gamma 90.00
_space_group_name_H-M_alt 'P 1 21/c 1'
_space_group_IT_number 14
loop_
_space_group_symop_operation_xyz
'x,y,z'
'-x,-y,-z'
'-x,y+1/2,-z+1/2'
'x,-y+1/2,z+1/2'
loop_
_atom_site_label
_atom_site_type_symbol
_atom_site_fract_x
_atom_site_fract_y
_atom_site_fract_z
Pa1 Pa 0.1838 0.1142 0.3703
Ni1 Ni 0.1533 0.6427 0.4950
Au1 Au 0.4178 0.5829 0.2931
# total magnetic moment: 0.0 μB/f.u.
# crystal system: monoclinic


*Q*
# PaNiAu PBE optimized geometry
data_PaNiAu
_chemical_formula_sum 'Pa1 Ni1 Au1'
_cell_length_a 4.5068
_cell_length_b 4.5068
_cell_length_c 3.2295
_cell_angle_alpha 90.00
_cell_angle_beta 90.00
_cell_angle_gamma 120.00
_space_group_name_H-M_alt 'P -6 m 2'
_space_group_IT_number 187
_space_group_name_Hall 'P -6 2'
loop_
_atom_site_label
_atom_site_type_symbol
_atom_site_fract_x
_atom_site_fract_y
_atom_site_fract_z
Pa1 Pa 0.0000 0.0000 0.0000
Ni1 Ni 0.6667 0.3333 0.5000
Au1 Au 0.3333 0.6667 0.5000
# total magnetic moment: 0.0 μB/f.u.
# crystal system: hexagonal


So which one wins? Going from most stable to least: *P*, *Q*.